This record from the Alexandria database describes a geometry-optimized DyGeRh structure. The functional is PBE-GGA.

Output
For the magnetization, the calculation gives 0.00 μB per formula unit. The calculation puts the formation energy at -2.656 eV/f.u.

Lattice parameters (Å, degrees): 3.646 4.325 4.325 120.00 90.00 90.00
Sites, in units of the cell vectors:
Ge: 0.167 0.333 0.667
Rh: 0.167 0.000 0.000
Dy: 0.667 0.667 0.333


This record from the Alexandria database describes a geometry-optimized PuUOs structure. The functional is PBE-GGA.

Output
Its distance to the lowest polymorph of the same formula is 0.2116 eV/atom. For the magnetization, the calculation gives 6.84 μB per formula unit. The calculation puts the formation energy at 0.365 eV/f.u.

Lattice parameters (Å, degrees): 4.191 4.191 4.191 73.59 73.59 73.59
Site moments in Bohr magnetons follow the coordinates.
Sites, in units of the cell vectors:
Pu: 0.615 0.615 0.615  5.00
U: 0.213 0.213 0.213  1.85
Os: 0.917 0.917 0.917  -0.31


This record from the Alexandria database describes a geometry-optimized HoThCo structure. The functional is PBE-GGA.

Output
Its distance to the lowest polymorph of the same formula is 0.1593 eV/atom. For the magnetization, the calculation gives 0.00 μB per formula unit. The calculation puts the formation energy at -0.072 eV/f.u.

Lattice parameters (Å, degrees): 4.760 4.760 4.760 60.00 60.00 60.00
Sites, in units of the cell vectors:
Co: 0.250 0.250 0.250
Ho: 0.000 0.000 0.000
Th: 0.500 0.500 0.500


This record from the Alexandria database describes a geometry-optimized CaPuTe structure. The functional is PBE-GGA.

Output
The calculation puts the uncorrected formation energy at -0.445 eV per atom. For the magnetization, the calculation gives 0.00 μB per formula unit.

Lattice parameters (Å, degrees): 3.903 3.903 12.918 81.31 81.31 60.00
Sites, in units of the cell vectors:
Te: 0.264 0.264 0.207
Te: 0.736 0.736 0.793
Pu: 0.346 0.346 0.963
Pu: 0.654 0.654 0.037
Ca: 0.875 0.875 0.375
Ca: 0.125 0.125 0.625


This record from the Alexandria database describes a geometry-optimized LiTl2In structure. The functional is PBE-GGA.

Output
For the magnetization, the calculation gives 0.00 μB per formula unit. The calculation puts the formation energy at -0.289 eV/f.u.

Lattice parameters (Å, degrees): 5.966 5.966 5.966 141.51 127.11 67.29
Sites, in units of the cell vectors:
Tl: 0.019 0.019 0.000
Tl: 0.481 0.481 0.000
Li: 0.250 0.750 0.500
In: 0.750 0.250 0.500


This record from the Alexandria database describes a geometry-optimized FeSe2N2 structure. The functional is PBE-GGA.

Output
The calculation puts the uncorrected formation energy at 1.679 eV per atom. Its distance to the lowest polymorph of the same formula is 1.8123 eV/atom. For the magnetization, the calculation gives 3.29 μB per formula unit.

Lattice parameters (Å, degrees): 4.233 4.233 3.752 90.00 90.00 90.00
Site moments in Bohr magnetons follow the coordinates.
Sites, in units of the cell vectors:
Fe: 0.500 0.500 0.500  3.17
Se: 0.000 0.500 0.000  0.03
Se: 0.500 0.000 0.000  0.03
N: 0.000 0.000 0.000  -0.02
N: 0.000 0.000 0.500  -0.02


This record from the Alexandria database describes a geometry-optimized Ba2AlAs structure. The functional is PBE-GGA.

Output
Its distance to the lowest polymorph of the same formula is 0.0000 eV/atom. For the magnetization, the calculation gives 0.00 μB per formula unit. The calculation puts the formation energy at -2.533 eV/f.u.

Lattice parameters (Å, degrees): 4.347 5.115 6.693 67.53 90.00 90.00
Sites, in units of the cell vectors:
As: 0.500 0.560 0.756
Ba: 0.000 0.986 0.903
Ba: 0.500 0.267 0.340
Al: 0.000 0.687 0.501


This record from the Alexandria database describes a geometry-optimized Hf2AlAs2 structure. The functional is PBE-GGA.

Output
Its distance to the lowest polymorph of the same formula is 0.0142 eV/atom. For the magnetization, the calculation gives 0.00 μB per formula unit. The calculation puts the formation energy at -2.481 eV/f.u.

Lattice parameters (Å, degrees): 7.411 7.411 3.561 90.00 90.00 90.00
Sites, in units of the cell vectors:
As: 0.148 0.648 0.500
As: 0.648 0.852 0.500
As: 0.852 0.352 0.500
As: 0.352 0.148 0.500
Hf: 0.349 0.849 0.000
Hf: 0.849 0.651 0.000
Hf: 0.651 0.151 0.000
Hf: 0.151 0.349 0.000
Al: 0.000 0.000 0.000
Al: 0.500 0.500 0.000


This record from the Alexandria database describes a geometry-optimized Ho4Er3Tm5 structure. The functional is PBE-GGA.

Output
Its distance to the lowest polymorph of the same formula is 0.0000 eV/atom. For the magnetization, the calculation gives 0.00 μB per formula unit. The calculation puts the formation energy at 0.288 eV/f.u.

Lattice parameters (Å, degrees): 7.001 11.050 12.598 151.29 56.32 129.26
Sites, in units of the cell vectors:
Ho: 0.917 0.834 0.667
Ho: 0.833 0.665 0.833
Ho: 0.167 0.335 0.167
Ho: 0.083 0.166 0.333
Er: 0.583 0.166 0.333
Er: 0.000 0.000 0.500
Er: 0.417 0.834 0.667
Tm: 0.333 0.666 0.833
Tm: 0.500 0.000 0.500
Tm: 0.750 0.500 0.000
Tm: 0.250 0.500 0.000
Tm: 0.667 0.334 0.167


This record from the Alexandria database describes a geometry-optimized ZnIn2Co structure. The functional is PBE-GGA.

Output
For the magnetization, the calculation gives 0.75 μB per formula unit. The calculation puts the formation energy at 0.504 eV/f.u.

Lattice parameters (Å, degrees): 4.136 3.495 5.275 72.08 90.00 90.00
Site moments in Bohr magnetons follow the coordinates.
Sites, in units of the cell vectors:
Co: 0.500 0.551 0.767  0.81
In: 0.000 0.982 0.928  -0.01
In: 0.500 0.274 0.315  -0.02
Zn: 0.000 0.692 0.491  -0.01


This record from the Alexandria database describes a geometry-optimized La2Al4Ir3Pd structure. The functional is PBE-GGA.

Output
For the magnetization, the calculation gives 0.00 μB per formula unit. The calculation puts the formation energy at -8.840 eV/f.u.

Lattice parameters (Å, degrees): 4.298 4.298 10.428 90.00 90.00 90.00
Sites, in units of the cell vectors:
La: 0.500 0.000 0.252
La: 0.000 0.500 0.748
Al: 0.500 0.500 0.000
Al: 0.000 0.000 0.000
Al: 0.500 0.000 0.623
Al: 0.000 0.500 0.377
Ir: 0.000 0.000 0.500
Ir: 0.500 0.000 0.866
Ir: 0.000 0.500 0.134
Pd: 0.500 0.500 0.500


This record from the Alexandria database describes a geometry-optimized LaTcHg2 structure. The functional is PBE-GGA.

Output
Its distance to the lowest polymorph of the same formula is 0.1330 eV/atom. For the magnetization, the calculation gives 1.04 μB per formula unit. The calculation puts the formation energy at 1.061 eV/f.u.

Lattice parameters (Å, degrees): 5.572 5.572 5.572 132.63 132.63 69.23
Site moments in Bohr magnetons follow the coordinates.
Sites, in units of the cell vectors:
Hg: 0.000 0.000 0.000  -0.01
Hg: 0.250 0.750 0.500  -0.02
La: 0.500 0.500 0.000  -0.01
Tc: 0.750 0.250 0.500  0.98